The following is a DFT calculation (PBE) of crystalline Ce4EuTm at its relaxed geometry.

Properties
- Energy of formation from the pure elements: 0.243 eV per atom
- DOS at the Fermi energy: 18.94 states/eV/cell
- ρ: 7.85 g/cm3

Cell and atoms, written as POSCAR:
```
Ce4EuTm
1.0
0.000 4.535 4.535
4.535 0.000 4.535
4.535 4.535 0.000
Ce Eu Tm
4 1 1
Direct
0.116 0.116 0.116
0.116 0.116 0.652
0.116 0.652 0.116
0.652 0.116 0.116
0.500 0.500 0.500
0.750 0.750 0.750
```

---

The following is a DFT calculation (PBE) of crystalline CeEuYTm at its relaxed geometry.

Properties
- Energy of formation from the pure elements: 0.216 eV per atom
- DOS at the Fermi energy: 9.42 states/eV/cell
- ρ: 6.83 g/cm3

Cell and atoms, written as POSCAR:
```
CeEuYTm
1.0
0.000 4.059 4.059
4.059 0.000 4.059
4.059 4.059 0.000
Ce Eu Y Tm
1 1 1 1
Direct
0.000 0.000 0.000
0.500 0.500 0.500
0.750 0.750 0.750
0.250 0.250 0.250
```

---

The following is a DFT calculation (PBE) of crystalline CeEu2Zn at its relaxed geometry.

Properties
- Energy above the lowest structure with this stoichiometry: 136 meV per atom
- Energy of formation from the pure elements: 0.143 eV per atom
- DOS at the Fermi energy: 6.51 states/eV/cell
- ρ: 7.40 g/cm3

Cell and atoms, written as POSCAR:
```
CeEu2Zn
1.0
0.000 3.852 3.852
3.852 0.000 3.852
3.852 3.852 0.000
Ce Eu Zn
1 2 1
Direct
0.000 0.000 0.000
0.250 0.250 0.250
0.750 0.750 0.750
0.500 0.500 0.500
```

---

The following is a DFT calculation (PBE) of crystalline Ce2EuZn at its relaxed geometry.

Properties
- Energy of formation from the pure elements: 0.184 eV per atom
- DOS at the Fermi energy: 8.99 states/eV/cell
- ρ: 7.44 g/cm3

Cell and atoms, written as POSCAR:
```
Ce2EuZn
1.0
1.665 0.961 11.561
-1.665 0.961 11.561
0.000 -1.922 11.561
Ce Eu Zn
2 1 1
Direct
0.096 0.096 0.096
0.904 0.904 0.904
0.000 0.000 0.000
0.500 0.500 0.500
```

---

The following is a DFT calculation (PBE) of crystalline CeEuZn4 at its relaxed geometry.

Properties
- Energy of formation from the pure elements: -0.256 eV per atom
- DOS at the Fermi energy: 5.01 states/eV/cell
- ρ: 7.60 g/cm3

Cell and atoms, written as POSCAR:
```
CeEuZn4
1.0
0.000 3.925 3.925
3.925 0.000 3.925
3.925 3.925 0.000
Ce Eu Zn
1 1 4
Direct
0.000 0.000 0.000
0.250 0.250 0.250
0.124 0.625 0.625
0.625 0.124 0.625
0.625 0.625 0.124
0.625 0.625 0.625
```

---

The following is a DFT calculation (PBE) of crystalline CeEu2Zn at its relaxed geometry.

Properties
- Energy above the lowest structure with this stoichiometry: 0 meV per atom
- Energy of formation from the pure elements: 0.007 eV per atom
- DOS at the Fermi energy: 7.84 states/eV/cell
- ρ: 6.71 g/cm3

Cell and atoms, written as POSCAR:
```
CeEu2Zn
1.0
3.725 0.000 0.000
0.000 3.725 0.000
0.000 0.000 9.082
Ce Eu Zn
1 2 1
Direct
0.000 0.000 0.000
0.500 0.500 0.296
0.500 0.500 0.704
0.000 0.000 0.500
```